(1)
Zr2TePb (PBE, optimized geometry); formation energy from raw total energies = -0.207 eV per atom
1.0
3.9034 0.0000 0.0000
0.0000 5.2265 0.0000
0.0000 0.0000 11.0569
Zr Te Pb
4 2 2
Cartesian
0.0000 0.0000 0.0000 Zr
0.0000 2.6133 2.3276 Zr
1.9517 0.0000 2.3276 Zr
1.9517 2.6133 0.0000 Zr
0.0000 0.0000 4.4546 Te
1.9517 2.6133 4.4546 Te
0.0000 2.6133 8.4261 Pb
1.9517 0.0000 8.4261 Pb


(2)
CdTeCl2 (PBE, optimized geometry); formation energy from raw total energies = -0.529 eV per atom
1.0
5.0251 0.0000 0.0000
0.0000 4.7971 0.0000
-2.4666 0.0000 5.6087
Cd Te Cl
1 1 2
Cartesian
0.0000 0.0000 0.0000 Cd
2.4546 2.3986 4.0423 Te
-0.1987 2.3986 3.3824 Cl
2.4873 0.0000 0.9437 Cl


(3)
Ta2Cd2O (PBE, optimized geometry); formation energy from raw total energies = -0.526 eV per atom
1.0
5.7267 0.0000 0.0000
0.0000 5.7267 0.0000
0.0000 0.0000 5.3691
Ta Cd O
4 4 2
Cartesian
0.9896 1.8738 0.0000 Ta
1.8738 4.7371 0.0000 Ta
3.8529 0.9896 0.0000 Ta
4.7371 3.8529 0.0000 Ta
0.9795 3.8428 2.6845 Cd
1.8839 0.9795 2.6845 Cd
3.8428 4.7472 2.6845 Cd
4.7472 1.8839 2.6845 Cd
0.0000 0.0000 0.0000 O
2.8633 2.8633 0.0000 O


Number 1: offset from the most stable computed form 0.2293 eV per atom. Number 2: offset from the most stable computed form 0.0115 eV per atom. Number 3: offset from the most stable computed form 0.0000 eV per atom.